1.
Crystalline Zn5GePd6 at its relaxed geometry, computed with PBE.

```
Zn5GePd6
1.0
-0.563 -4.464 -0.017
3.203 -0.385 -4.866
5.661 0.501 3.687
Zn Ge Pd
5 1 6
direct
0.659 0.500 0.337
0.339 0.000 0.656
0.000 0.500 0.000
0.661 0.000 0.344
0.341 0.500 0.663
0.000 0.000 0.000
0.845 0.751 0.673
0.845 0.249 0.673
0.500 0.247 0.000
0.500 0.753 0.000
0.155 0.751 0.327
0.155 0.249 0.327
```

Computed properties:
- N(E_F): 4.92 states/eV per cell
- Symmetry: P2/m, No. 10
- Energy of formation from the pure elements: -0.511 eV per atom
- Volume: 175.04 Å³/f.u.

2.
Crystalline SiHgRh2 at its relaxed geometry, computed with PBE.

```
SiHgRh2
1.0
-0.784 -3.271 -1.322
2.560 -1.940 -1.655
2.122 -4.253 4.324
Hg Rh Si
1 2 1
direct
0.250 0.250 0.250
0.024 0.024 0.926
0.476 0.476 0.574
0.750 0.750 0.750
```

Computed properties:
- N(E_F): 0.86 states/eV per cell
- Symmetry: R-3m, No. 166
- Formation energy from raw total energies: -0.36 eV/atom
- Volume: 68.73 Å³/f.u.

3.
Crystalline PmPrSm2Dy2 at its relaxed geometry, computed with PBE.

```
PmPrSm2Dy2
1.0
-1.035 3.020 1.243
-1.714 -2.932 5.699
16.642 3.006 6.550
Pm Pr Sm Dy
2 2 4 4
direct
0.500 0.500 0.000
0.000 0.000 0.500
0.000 0.000 0.000
0.500 0.500 0.500
0.500 0.278 0.313
0.000 0.778 0.187
0.500 0.722 0.687
0.000 0.222 0.813
0.500 0.780 0.351
0.500 0.220 0.649
0.000 0.720 0.851
0.000 0.280 0.149
```

Computed properties:
- N(E_F): 20.80 states/eV per cell
- Symmetry: Pnnm, No. 58
- Energy of formation from the pure elements: 0.263 eV per atom
- Volume: 206.05 Å³/f.u.

4.
Crystalline Re2Rh at its relaxed geometry, computed with PBE.

```
Re2Rh
1.0
-0.163 -4.967 0.225
2.131 2.625 3.650
-4.776 1.389 0.120
Re Rh
4 2
direct
0.360 0.140 0.500
0.860 0.360 0.220
0.140 0.640 0.780
0.640 0.860 0.500
0.250 0.250 0.000
0.750 0.750 0.000
```

Computed properties:
- N(E_F): 3.97 states/eV per cell
- Symmetry: I4/mcm, No. 140
- Energy of formation from the pure elements: 0.236 eV per atom
- Volume: 46.05 Å³/f.u.

5.
Crystalline La7SbBr12 at its relaxed geometry, computed with PBE.

```
La7SbBr12
1.0
9.329 -0.291 -2.903
-3.862 8.497 -2.903
-0.194 -0.291 9.768
La Sb Br
7 1 12
direct
0.960 0.659 0.880
0.341 0.120 0.040
0.120 0.040 0.341
0.500 0.500 0.500
0.880 0.960 0.659
0.659 0.880 0.960
0.040 0.341 0.120
0.000 0.000 0.000
0.922 0.308 0.776
0.692 0.224 0.078
0.475 0.164 0.392
0.836 0.608 0.525
0.224 0.078 0.692
0.608 0.525 0.836
0.392 0.475 0.164
0.776 0.922 0.308
0.164 0.392 0.475
0.525 0.836 0.608
0.308 0.776 0.922
0.078 0.692 0.224
```

Computed properties:
- N(E_F): 6.98 states/eV per cell
- Symmetry: R-3, No. 148
- Formation energy from raw total energies: -1.74 eV/atom
- Volume: 747.29 Å³/f.u.

6.
Crystalline UInCuRh at its relaxed geometry, computed with PBE.

```
UInCuRh
1.0
-3.659 -2.662 -1.403
0.591 -3.226 -3.418
-0.113 -4.617 1.055
Rh U Cu In
1 1 1 1
direct
0.250 0.250 0.250
0.500 0.500 0.500
0.750 0.750 0.750
0.000 0.000 0.000
```

Computed properties:
- N(E_F): 7.10 states/eV per cell
- Symmetry: F-43m, No. 216
- Energy of formation from the pure elements: -0.110 eV per atom
- Volume: 75.18 Å³/f.u.

7.
Crystalline Zn3TeRu at its relaxed geometry, computed with PBE.

```
Zn3TeRu
1.0
4.825 0.000 0.000
0.000 4.825 0.000
0.000 0.000 4.825
Ru Zn Te
1 3 1
direct
0.000 0.000 0.000
0.000 0.500 0.000
0.000 0.000 0.500
0.500 0.000 0.000
0.500 0.500 0.500
```

Computed properties:
- N(E_F): 5.88 states/eV per cell
- Symmetry: Pm-3m, No. 221
- Formation energy from raw total energies: 0.58 eV/atom
- Volume: 112.32 Å³/f.u.

8.
Crystalline FeMoPd4 at its relaxed geometry, computed with PBE.

```
FeMoPd4
1.0
-0.049 2.382 1.404
-1.422 -1.226 2.030
10.016 -2.900 5.266
Fe Mo Pd
1 1 4
direct
0.500 0.500 0.500
0.000 0.000 0.000
0.500 0.500 0.167
0.000 0.000 0.653
0.000 0.000 0.347
0.500 0.500 0.833
```

Computed properties:
- N(E_F): 5.84 states/eV per cell
- Symmetry: P4/mmm, No. 123
- Energy of formation from the pure elements: -0.094 eV per atom
- Volume: 89.32 Å³/f.u.

9.
Crystalline KHg2As2 at its relaxed geometry, computed with PBE.

```
KHg2As2
1.0
-3.838 -1.797 3.171
-2.989 -1.085 -4.231
-1.461 -5.986 -0.743
K As Hg
1 2 2
direct
0.000 0.000 0.000
0.375 0.375 0.249
0.625 0.625 0.751
0.750 0.250 0.500
0.250 0.750 0.500
```

Computed properties:
- N(E_F): 2.63 states/eV per cell
- Symmetry: I4/mmm, No. 139
- Energy of formation from the pure elements: -0.121 eV per atom
- Volume: 138.70 Å³/f.u.

10.
Crystalline Ca2AcLa at its relaxed geometry, computed with PBE.

```
Ca2AcLa
1.0
3.851 0.000 0.000
1.926 3.335 0.000
1.926 1.112 12.790
Ac Ca La
1 2 1
direct
0.500 0.500 0.500
0.749 0.749 0.754
0.251 0.251 0.246
0.000 0.000 0.000
```

Computed properties:
- N(E_F): 6.99 states/eV per cell
- Symmetry: R-3m, No. 166
- Energy of formation from the pure elements: 0.061 eV per atom
- Volume: 164.28 Å³/f.u.

11.
Crystalline CsBeNbB2 at its relaxed geometry, computed with PBE.

```
CsBeNbB2
1.0
4.519 0.000 0.000
0.000 5.210 0.000
0.000 0.000 4.519
Cs Be Nb B
1 1 1 2
direct
0.500 0.500 0.500
0.000 0.500 0.000
0.000 0.000 0.000
0.000 0.000 0.500
0.500 0.000 0.000
```

Computed properties:
- N(E_F): 3.87 states/eV per cell
- Symmetry: P4/mmm, No. 123
- Energy of formation from the pure elements: 1.379 eV per atom
- Volume: 106.40 Å³/f.u.

12.
Crystalline NdHoAg4 at its relaxed geometry, computed with PBE.

```
NdHoAg4
1.0
-3.005 1.216 1.894
-1.503 -3.296 -3.995
-2.285 -6.121 4.018
Nd Ho Ag
1 1 4
direct
0.501 0.497 0.998
0.001 0.997 0.498
0.655 0.983 0.175
0.348 0.012 0.821
0.174 0.499 0.654
0.829 0.496 0.342
```

Computed properties:
- N(E_F): 2.95 states/eV per cell
- Symmetry: C2/m, No. 12
- Energy of formation from the pure elements: -0.278 eV per atom
- Volume: 134.86 Å³/f.u.